Record 1
Density functional theory data (PBE) for a relaxed structure of ScAg2As.

As for the total magnetization: 0.20 μB per formula unit. The calculation puts the formation energy at -66 meV per atom. As for the crystal system: trigonal.

Cell lengths 3.1101, 3.1101, 27.9285 Å; angles 90.00, 90.00, 120.00 degrees
Closest atoms and distances in Å follow each position.
Space group R3m (No. 160, hexagonal axes)
One atom of each set of equivalent atoms:
Sc 0.0000 0.0000 0.0000 x3  3 As 2.85, 3 Ag 2.96, 6 Sc 3.11
Ag 0.0000 0.0000 0.5005 x3  9 Ag 2.94-3.11, 3 As 3.02
Ag 0.0000 0.0000 0.7507 x3  9 Ag 2.94-3.11, 3 Sc 2.96
As 0.0000 0.0000 0.2541 x3  3 Sc 2.85, 3 Ag 3.02, 6 As 3.11

---

Record 2
Density functional theory data (PBE) for a relaxed structure of Al2TeAs.

As for the total magnetization: 0.00 μB per formula unit. The formation energy without anion corrections comes out at 6 kJ per mole of atoms. As for the crystal system: monoclinic.

Cell lengths 5.7218, 7.9586, 4.8881 Å; angles 90.00, 125.49, 90.00 degrees
Closest atoms and distances in Å follow each position.
Space group C2/m (No. 12)
One atom of each set of equivalent atoms:
Al 0.2500 0.2500 0.0000 x4  2 Te 2.81, 2 As 2.81, 2 Al 2.86
Te 0.0000 0.0000 0.5000 x2  4 Al 2.81, 2 As 2.86
As 0.0000 0.5000 0.5000 x2  4 Al 2.81, 2 Te 2.86

---

Record 3
Density functional theory data (PBE) for a relaxed structure of NdSm5Tm.

As for the total magnetization: 0.00 μB per formula unit. The calculation puts the formation energy at 878 meV per atom. As for the crystal system: orthorhombic.

Cell lengths 8.0095, 11.7648, 6.2405 Å; angles 90.00, 90.00, 90.00 degrees
Closest atoms and distances in Å follow each position.
Space group Imm2 (No. 44)
One atom of each set of equivalent atoms:
Nd 0.0000 0.0000 0.0000 x2  2 Sm 2.97
Sm 0.0000 0.2527 0.0078 x4  1 Nd 2.97, 1 Tm 3.32
Sm 0.0000 0.5000 0.7371 x2  2 Tm 2.96-3.28, 2 Sm 3.05
Sm 0.1799 0.0000 0.5025 x4  2 Sm 2.88-3.05, 1 Tm 3.04
Tm 0.0000 0.5000 0.2631 x2  4 Sm 2.96-3.28

---

Record 4
Density functional theory data (PBE) for a relaxed structure of Sr3Nb2O8.

As for the total magnetization: 0.00 μB per formula unit. The formation energy without anion corrections comes out at -274 kJ per mole of atoms. As for the crystal system: trigonal.

Cell lengths 6.0424, 6.0424, 20.1724 Å; angles 90.00, 90.00, 120.00 degrees
Closest atoms and distances in Å follow each position.
Space group R-3m (No. 166, hexagonal axes)
One atom of each set of equivalent atoms:
Sr 0.0000 0.0000 0.0000 x3  6 O 2.65
Sr 0.0000 0.0000 0.1934 x6  4 O 2.40-2.53
Nb 0.0000 0.0000 0.4039 x6  4 O 1.85-1.88
O 0.0000 0.0000 0.3122 x6  1 Nb 1.85
O 0.0078 0.5039 0.7671 x18  1 Nb 1.88

---

Record 5
Density functional theory data (PBE) for a relaxed structure of PmNpOs2.

As for the total magnetization: 2.68 μB per formula unit. The calculation puts the formation energy at 197 meV per atom. As for the crystal system: cubic.

Cell lengths 6.8694, 6.8694, 6.8694 Å; angles 90.00, 90.00, 90.00 degrees
Closest atoms and distances in Å follow each position.
Space group Fm-3m (No. 225)
One atom of each set of equivalent atoms:
Pm 0.0000 0.0000 0.0000 x4  8 Os 2.97
Np 0.0000 0.0000 0.5000 x4  8 Os 2.97
Os 0.2500 0.2500 0.2500 x8  4 Pm 2.97, 4 Np 2.97

---

Record 6
Density functional theory data (PBE) for a relaxed structure of Ta2SbTe.

As for the total magnetization: 0.00 μB per formula unit. The formation energy without anion corrections comes out at -6 kJ per mole of atoms. As for the crystal system: tetragonal.

Cell lengths 3.4978, 3.4978, 7.9065 Å; angles 90.00, 90.00, 90.00 degrees
Closest atoms and distances in Å follow each position.
Space group P4mm (No. 99)
One atom of each set of equivalent atoms:
Ta 0.0000 0.0000 0.0000 x1  4 Ta 2.87, 4 Sb 2.95, 1 Te 3.02
Ta 0.5000 0.5000 0.1851 x1  4 Ta 2.87, 4 Te 2.92, 1 Sb 3.07
Sb 0.5000 0.5000 0.7970 x1  5 Ta 2.95-3.07
Te 0.0000 0.0000 0.3823 x1  5 Ta 2.92-3.02

---

Record 7
Density functional theory data (PBE) for a relaxed structure of FeTcPS2.

As for the total magnetization: 0.03 μB per formula unit. The formation energy without anion corrections comes out at 106 kJ per mole of atoms. As for the crystal system: tetragonal.

Cell lengths 4.5590, 4.5590, 4.6009 Å; angles 90.00, 90.00, 90.00 degrees
Closest atoms and distances in Å follow each position.
Space group P4/mmm (No. 123)
One atom of each set of equivalent atoms:
Fe 0.0000 0.0000 0.0000 x1  4 P 3.22, 8 S 3.24
Tc 0.5000 0.5000 0.5000 x1  4 S 2.28, 2 P 2.30
P 0.5000 0.5000 0.0000 x1  2 Tc 2.30
S 0.0000 0.5000 0.5000 x2  2 Tc 2.28

---

Record 8
Density functional theory data (PBE) for a relaxed structure of TbFePt6.

As for the total magnetization: 4.82 μB per formula unit. The calculation puts the formation energy at -595 meV per atom. As for the crystal system: tetragonal.

Cell lengths 4.0373, 4.0373, 8.0286 Å; angles 90.00, 90.00, 90.00 degrees
Closest atoms and distances in Å follow each position.
Space group P4/mmm (No. 123)
One atom of each set of equivalent atoms:
Tb 0.0000 0.0000 0.0000 x1  12 Pt 2.85-2.95
Fe 0.0000 0.0000 0.5000 x1  12 Pt 2.75-2.85
Pt 0.0000 0.5000 0.2679 x4  2 Fe 2.75, 8 Pt 2.75-2.95, 2 Tb 2.95
Pt 0.5000 0.5000 0.0000 x1  4 Tb 2.85, 8 Pt 2.95
Pt 0.5000 0.5000 0.5000 x1  8 Pt 2.75, 4 Fe 2.85